[1]
Density functional theory data (PBE-GGA) for crystalline CsInGa2Br8 at its relaxed geometry.

a b c (Å): 7.235 7.235 11.293
angles (deg): 71.32 71.32 60.00
Element x y z (fractional)
Ga 0.245 0.245 0.264
Ga 0.755 0.755 0.736
Br 0.684 0.060 0.810
Br 0.446 0.684 0.810
Br 0.316 0.940 0.190
Br 0.060 0.446 0.810
Br 0.170 0.170 0.489
Br 0.830 0.830 0.511
Br 0.554 0.316 0.190
Br 0.940 0.554 0.190
In 0.000 0.000 0.000
Cs 0.500 0.500 0.500

Values from the calculation:
The uncorrected energy is -2.94 eV/atom. Its total magnetic moment is 0.0000 μB per atom. The space-group type is R-3 (148). The crystal system is trigonal.


[2]
Density functional theory data (PBE-GGA) for crystalline Th3AlZn3 at its relaxed geometry.

a b c (Å): 4.553 5.919 13.599
angles (deg): 80.80 80.36 67.38
Element x y z (fractional)
Th 0.754 0.703 0.789
Th 0.452 0.713 0.383
Th 0.548 0.287 0.617
Th 0.591 0.729 0.089
Th 0.246 0.297 0.211
Th 0.409 0.271 0.911
Zn 0.130 0.284 0.456
Zn 0.870 0.716 0.544
Zn 0.947 0.872 0.235
Zn 0.111 0.845 0.934
Zn 0.053 0.128 0.765
Zn 0.889 0.155 0.066
Al 0.256 0.876 0.612
Al 0.744 0.124 0.388

Values from the calculation:
The uncorrected energy is -4.51 eV/atom. Its total magnetic moment is 0.0000 μB per atom. The formation energy is -1.74 eV per formula unit. The space-group type is C2/m (12). The crystal system is monoclinic.


[3]
Density functional theory data (PBE-GGA) for crystalline CsNb2Rh2 at its relaxed geometry.

a b c (Å): 4.660 4.660 6.272
angles (deg): 68.19 68.19 90.00
Element x y z (fractional)
Cs 0.000 0.000 0.000
Nb 0.358 0.358 0.283
Nb 0.642 0.642 0.717
Rh 0.750 0.250 0.500
Rh 0.250 0.750 0.500

Values from the calculation:
The uncorrected energy is -6.56 eV/atom. The value obtained for the energy above the most stable polymorph in this dataset is 189 meV/atom. Its total magnetic moment is 0.0000 μB per atom. The formation energy is 2.90 eV per formula unit. The space-group type is I4/mmm (139). The crystal system is tetragonal.


[4]
Density functional theory data (PBE-GGA) for crystalline ZnCoRu at its relaxed geometry.

a b c (Å): 5.762 5.762 5.762
angles (deg): 153.33 153.33 38.08
Element x y z (fractional)
Co 0.994 0.994 0.000
Zn 0.660 0.660 0.000
Ru 0.345 0.345 0.000

Values from the calculation:
The uncorrected energy is -5.84 eV/atom. The value obtained for the energy above the most stable polymorph in this dataset is 0 meV/atom. Its total magnetic moment is 0.1630 μB per atom. The formation energy is 0.13 eV per formula unit. The space-group type is I4mm (107). The crystal system is tetragonal.


[5]
Density functional theory data (PBE-GGA) for crystalline Tb5In4Hg at its relaxed geometry.

a b c (Å): 3.757 3.757 18.952
angles (deg): 90.00 90.00 90.00
Element x y z (fractional)
Tb 0.500 0.500 0.097
Tb 0.500 0.500 0.701
Tb 0.500 0.500 0.500
Tb 0.500 0.500 0.299
Tb 0.500 0.500 0.903
In 0.000 0.000 0.198
In 0.000 0.000 0.600
In 0.000 0.000 0.400
In 0.000 0.000 0.802
Hg 0.000 0.000 0.000

Values from the calculation:
The uncorrected energy is -3.92 eV/atom. Its total magnetic moment is 0.0000 μB per atom. The formation energy is -4.76 eV per formula unit. The space-group type is P4/mmm (123). The crystal system is tetragonal.


[6]
Density functional theory data (PBE-GGA) for crystalline K2Pa3NbO12 at its relaxed geometry.

a b c (Å): 7.879 7.879 7.879
angles (deg): 61.09 61.09 61.09
Element x y z (fractional)
O 0.941 0.941 0.298
O 0.925 0.323 0.323
O 0.059 0.702 0.059
O 0.677 0.075 0.677
O 0.323 0.925 0.323
O 0.059 0.059 0.702
O 0.298 0.941 0.941
O 0.941 0.298 0.941
O 0.075 0.677 0.677
O 0.323 0.323 0.925
O 0.702 0.059 0.059
O 0.677 0.677 0.075
K 0.604 0.604 0.604
K 0.396 0.396 0.396
Pa 0.000 0.500 0.000
Pa 0.500 0.000 0.000
Pa 0.000 0.000 0.500
Nb 0.000 0.000 0.000

Values from the calculation:
The uncorrected energy is -8.37 eV/atom. Its total magnetic moment is 0.0567 μB per atom. The space-group type is R-3m (166). The crystal system is trigonal.


Which of these has the highest uncorrected energy? CsInGa2Br8


The highest total magnetic moment belongs to which entry? ZnCoRu